(1)
This record from the Alexandria database describes Al4Co3Ir after structural relaxation. The functional is GGA-PBE.

a b c (Å): 2.9111 2.9111 11.5134
angles (deg): 90.00 90.00 90.00
Space group P4/mmm (No. 123)
Asymmetric unit:
Al (0.0000, 0.0000, 0.1214) (multiplicity 2)
Al (0.0000, 0.0000, 0.3631) (multiplicity 2)
Co (0.5000, 0.5000, 0.0000) (multiplicity 1)
Co (0.5000, 0.5000, 0.2435) (multiplicity 2)
Ir (0.5000, 0.5000, 0.5000) (multiplicity 1)

Computed properties:
- Fermi-level density of states (states/eV/cell) = 3.76
- VASP energy (eV/f.u.) = -50.6
- DFT formation energy (meV/atom) = -686
- spin magnetization (μB/f.u.) = 0.5

(2)
This record from the Alexandria database describes AlCo2Ir after structural relaxation. The functional is GGA-PBE.

a b c (Å): 2.8957 4.2011 8.2307
angles (deg): 90.00 90.00 90.00
Space group Imm2 (No. 44)
Asymmetric unit:
Al (0.0000, 0.0000, 0.0000) (multiplicity 2)
Co (0.0000, 0.0000, 0.4832) (multiplicity 2)
Co (0.0000, 0.5000, 0.7395) (multiplicity 2)
Ir (0.0000, 0.5000, 0.2470) (multiplicity 2)

Computed properties:
- Fermi-level density of states (states/eV/cell) = 7.68
- VASP energy (eV/f.u.) = -27.8
- DFT formation energy (meV/atom) = -247
- spin magnetization (μB/f.u.) = 3.2

(3)
This record from the Alexandria database describes AlCoIr2 after structural relaxation. The functional is GGA-PBE.

a b c (Å): 2.8000 2.8000 6.7874
angles (deg): 90.00 90.00 90.00
Space group P4mm (No. 99)
Asymmetric unit:
Al (0.0000, 0.0000, 0.0000) (multiplicity 1)
Co (0.5000, 0.5000, 0.2232) (multiplicity 1)
Ir (0.0000, 0.0000, 0.4681) (multiplicity 1)
Ir (0.5000, 0.5000, 0.7530) (multiplicity 1)

Computed properties:
- Fermi-level density of states (states/eV/cell) = 2.91
- VASP energy (eV/f.u.) = -29.6
- DFT formation energy (meV/atom) = -268
- spin magnetization (μB/f.u.) = 1.6

(4)
This record from the Alexandria database describes AlCoIr2 after structural relaxation. The functional is GGA-PBE.

a b c (Å): 8.5892 2.7472 4.6908
angles (deg): 90.00 101.35 90.00
Space group C2/m (No. 12)
Asymmetric unit:
Al (0.0000, 0.0000, 0.0000) (multiplicity 2)
Co (0.0000, 0.5000, 0.5000) (multiplicity 2)
Ir (0.2469, 0.5000, 0.2543) (multiplicity 4)

Computed properties:
- Fermi-level density of states (states/eV/cell) = 7.87
- VASP energy (eV/f.u.) = -29.9
- DFT formation energy (meV/atom) = -321
- spin magnetization (μB/f.u.) = 1.5

Question: Among the records above, which one has the lowest DFT formation energy?
Answer: Al4Co3Ir

Question: The highest DFT formation energy belongs to which entry?
Answer: AlCo2Ir

Question: Which of these has the lowest DFT formation energy?
Answer: Al4Co3Ir

Question: The lowest Fermi-level density of states belongs to which entry?
Answer: number 3